Here is an optimized crystal structure of Pu2Th2Pa15 from the Alexandria database. Energies are from PBE.

As for the total magnetization: 9.96 μB per formula unit. The value obtained for the energy of formation from the pure elements is 0.17 eV per atom.

Structure (CIF):
```
data_Pu2Th2Pa15
_space_group_name_H-M_alt 'R -3 m'
_space_group_IT_number 166
_space_group_name_Hall '-R 3 2"'
_cell_length_a 10.4826
_cell_length_b 10.4826
_cell_length_c 15.6272
_cell_angle_alpha 90.00
_cell_angle_beta 90.00
_cell_angle_gamma 120.00
loop_
_atom_site_label
_atom_site_type_symbol
_atom_site_fract_x
_atom_site_fract_y
_atom_site_fract_z
Pu1 Pu 0.0000 0.0000 0.0932
Th1 Th 0.0000 0.0000 0.3263
Pa1 Pa 0.0000 0.3146 0.0000
Pa2 Pa 0.0000 0.5000 0.5000
Pa3 Pa 0.0087 0.5043 0.1631
```


Here is an optimized crystal structure of HoAlGa2Cu5 from the Alexandria database. Energies are from PBE.

As for the total magnetization: 0.00 μB per formula unit. The value obtained for the energy of formation from the pure elements is 0.03 eV per atom.

Structure (CIF):
```
data_HoAlGa2Cu5
_space_group_name_H-M_alt 'P 4/m m m'
_space_group_IT_number 123
_space_group_name_Hall '-P 4 2'
_cell_length_a 4.5450
_cell_length_b 4.5450
_cell_length_c 7.1430
_cell_angle_alpha 90.00
_cell_angle_beta 90.00
_cell_angle_gamma 90.00
loop_
_atom_site_label
_atom_site_type_symbol
_atom_site_fract_x
_atom_site_fract_y
_atom_site_fract_z
Ho1 Ho 0.0000 0.0000 0.0000
Al1 Al 0.0000 0.0000 0.5000
Ga1 Ga 0.5000 0.5000 0.3348
Cu1 Cu 0.0000 0.5000 0.2309
Cu2 Cu 0.5000 0.5000 0.0000
```


Here is an optimized crystal structure of Pr3ThPa2N6 from the Alexandria database. Energies are from PBE.

As for the total magnetization: 0.00 μB per formula unit. For the formation energy without anion corrections, the calculation gives -1.544 eV/atom.

Structure (CIF):
```
data_Pr3ThPa2N6
_space_group_name_H-M_alt 'C 1 2/m 1'
_space_group_IT_number 12
_cell_length_a 6.2633
_cell_length_b 10.8439
_cell_length_c 6.2868
_cell_angle_alpha 90.00
_cell_angle_beta 109.39
_cell_angle_gamma 90.00
loop_
_space_group_symop_operation_xyz
'x,y,z'
'-x,-y,-z'
'-x,y,-z'
'x,-y,z'
'x+1/2,y+1/2,z'
'-x+1/2,-y+1/2,-z'
'-x+1/2,y+1/2,-z'
'x+1/2,-y+1/2,z'
loop_
_atom_site_label
_atom_site_type_symbol
_atom_site_fract_x
_atom_site_fract_y
_atom_site_fract_z
Pr1 Pr 0.0000 0.0000 0.0000
Pr2 Pr 0.0000 0.3336 0.0000
Th1 Th 0.0000 0.5000 0.5000
Pa1 Pa 0.0000 0.1667 0.5000
N1 N 0.2202 0.0000 0.7090
N2 N 0.2454 0.3253 0.7115
```


Here is an optimized crystal structure of TaTlPb2 from the Alexandria database. Energies are from PBE.

As for the total magnetization: 0.00 μB per formula unit. Its energy above the most stable polymorph in this dataset is 0.340 eV/atom. The value obtained for the energy of formation from the pure elements is 0.66 eV per atom.

Structure (CIF):
```
data_TaTlPb2
_space_group_name_H-M_alt 'P m m m'
_space_group_IT_number 47
_cell_length_a 3.2690
_cell_length_b 5.5343
_cell_length_c 5.5969
_cell_angle_alpha 90.00
_cell_angle_beta 90.00
_cell_angle_gamma 90.00
loop_
_space_group_symop_operation_xyz
'x,y,z'
'-x,-y,-z'
'-x,-y,z'
'x,y,-z'
'x,-y,-z'
'-x,y,z'
'-x,y,-z'
'x,-y,z'
loop_
_atom_site_label
_atom_site_type_symbol
_atom_site_fract_x
_atom_site_fract_y
_atom_site_fract_z
Ta1 Ta 0.0000 0.0000 0.0000
Tl1 Tl 0.5000 0.0000 0.5000
Pb1 Pb 0.0000 0.5000 0.5000
Pb2 Pb 0.5000 0.5000 0.0000
```


Here is an optimized crystal structure of Sr2CaCd8 from the Alexandria database. Energies are from PBE.

As for the total magnetization: 0.00 μB per formula unit. The value obtained for the energy of formation from the pure elements is -0.25 eV per atom.

Structure (CIF):
```
data_Sr2CaCd8
_space_group_name_H-M_alt 'C 1 2/m 1'
_space_group_IT_number 12
_cell_length_a 8.6396
_cell_length_b 16.4355
_cell_length_c 5.5798
_cell_angle_alpha 90.00
_cell_angle_beta 129.74
_cell_angle_gamma 90.00
loop_
_space_group_symop_operation_xyz
'x,y,z'
'-x,-y,-z'
'-x,y,-z'
'x,-y,z'
'x+1/2,y+1/2,z'
'-x+1/2,-y+1/2,-z'
'-x+1/2,y+1/2,-z'
'x+1/2,-y+1/2,z'
loop_
_atom_site_label
_atom_site_type_symbol
_atom_site_fract_x
_atom_site_fract_y
_atom_site_fract_z
Sr1 Sr 0.0000 0.1897 0.0000
Ca1 Ca 0.0000 0.5000 0.5000
Cd1 Cd 0.0000 0.2994 0.5000
Cd2 Cd 0.0040 0.0000 0.7560
Cd3 Cd 0.2232 0.3772 0.2261
```


Here is an optimized crystal structure of EuCuI2 from the Alexandria database. Energies are from PBE.

As for the total magnetization: 7.60 μB per formula unit. For the formation energy without anion corrections, the calculation gives -0.337 eV/atom.

Structure (CIF):
```
data_EuCuI2
_space_group_name_H-M_alt 'R -3 m'
_space_group_IT_number 166
_space_group_name_Hall '-R 3 2"'
_cell_length_a 4.2107
_cell_length_b 4.2107
_cell_length_c 28.0992
_cell_angle_alpha 90.00
_cell_angle_beta 90.00
_cell_angle_gamma 120.00
loop_
_atom_site_label
_atom_site_type_symbol
_atom_site_fract_x
_atom_site_fract_y
_atom_site_fract_z
Eu1 Eu 0.0000 0.0000 0.0000
Cu1 Cu 0.0000 0.0000 0.5000
I1 I 0.0000 0.0000 0.1119
```


Here is an optimized crystal structure of Ga2RhW from the Alexandria database. Energies are from PBE.

As for the total magnetization: 1.62 μB per formula unit. Its energy above the most stable polymorph in this dataset is 0.000 eV/atom. The value obtained for the energy of formation from the pure elements is 0.06 eV per atom.

Structure (CIF):
```
data_Ga2RhW
_space_group_name_H-M_alt 'F m -3 m'
_space_group_IT_number 225
_space_group_name_Hall '-F 4 2 3'
_cell_length_a 6.2047
_cell_length_b 6.2047
_cell_length_c 6.2047
_cell_angle_alpha 90.00
_cell_angle_beta 90.00
_cell_angle_gamma 90.00
loop_
_atom_site_label
_atom_site_type_symbol
_atom_site_fract_x
_atom_site_fract_y
_atom_site_fract_z
Ga1 Ga 0.2500 0.2500 0.2500
Rh1 Rh 0.0000 0.0000 0.0000
W1 W 0.0000 0.0000 0.5000
```


Here is an optimized crystal structure of MnGaAu2 from the Alexandria database. Energies are from PBE.

As for the total magnetization: 4.08 μB per formula unit. The value obtained for the energy of formation from the pure elements is -0.08 eV per atom.

Structure (CIF):
```
data_MnGaAu2
_space_group_name_H-M_alt 'P 4/m m m'
_space_group_IT_number 123
_space_group_name_Hall '-P 4 2'
_cell_length_a 4.4182
_cell_length_b 4.4182
_cell_length_c 3.4660
_cell_angle_alpha 90.00
_cell_angle_beta 90.00
_cell_angle_gamma 90.00
loop_
_atom_site_label
_atom_site_type_symbol
_atom_site_fract_x
_atom_site_fract_y
_atom_site_fract_z
Mn1 Mn 0.0000 0.0000 0.0000
Ga1 Ga 0.5000 0.5000 0.0000
Au1 Au 0.0000 0.5000 0.5000
```


Here is an optimized crystal structure of LaTlSb from the Alexandria database. Energies are from PBE.

As for the total magnetization: 0.00 μB per formula unit. Its energy above the most stable polymorph in this dataset is 0.368 eV/atom. For the formation energy without anion corrections, the calculation gives -0.367 eV/atom.

Structure (CIF):
```
data_LaTlSb
_space_group_name_H-M_alt 'F -4 3 m'
_space_group_IT_number 216
_space_group_name_Hall 'F -4 2 3'
_cell_length_a 7.5572
_cell_length_b 7.5572
_cell_length_c 7.5572
_cell_angle_alpha 90.00
_cell_angle_beta 90.00
_cell_angle_gamma 90.00
loop_
_atom_site_label
_atom_site_type_symbol
_atom_site_fract_x
_atom_site_fract_y
_atom_site_fract_z
La1 La 0.0000 0.0000 0.0000
Tl1 Tl 0.2500 0.2500 0.7500
Sb1 Sb 0.2500 0.2500 0.2500
```


Here is an optimized crystal structure of Cr2NiSe from the Alexandria database. Energies are from PBE.

As for the total magnetization: 0.00 μB per formula unit. For the formation energy without anion corrections, the calculation gives 0.294 eV/atom.

Structure (CIF):
```
data_Cr2NiSe
_space_group_name_H-M_alt 'C 1 2/m 1'
_space_group_IT_number 12
_cell_length_a 8.4213
_cell_length_b 2.9903
_cell_length_c 4.1590
_cell_angle_alpha 90.00
_cell_angle_beta 98.01
_cell_angle_gamma 90.00
loop_
_space_group_symop_operation_xyz
'x,y,z'
'-x,-y,-z'
'-x,y,-z'
'x,-y,z'
'x+1/2,y+1/2,z'
'-x+1/2,-y+1/2,-z'
'-x+1/2,y+1/2,-z'
'x+1/2,-y+1/2,z'
loop_
_atom_site_label
_atom_site_type_symbol
_atom_site_fract_x
_atom_site_fract_y
_atom_site_fract_z
Cr1 Cr 0.2393 0.0000 0.2054
Ni1 Ni 0.0000 0.5000 0.0000
Se1 Se 0.0000 0.0000 0.5000
```


Here is an optimized crystal structure of CaTa4Ir from the Alexandria database. Energies are from PBE.

As for the total magnetization: 0.00 μB per formula unit. The value obtained for the energy of formation from the pure elements is 0.38 eV per atom.

Structure (CIF):
```
data_CaTa4Ir
_space_group_name_H-M_alt 'F -4 3 m'
_space_group_IT_number 216
_space_group_name_Hall 'F -4 2 3'
_cell_length_a 7.7797
_cell_length_b 7.7797
_cell_length_c 7.7797
_cell_angle_alpha 90.00
_cell_angle_beta 90.00
_cell_angle_gamma 90.00
loop_
_atom_site_label
_atom_site_type_symbol
_atom_site_fract_x
_atom_site_fract_y
_atom_site_fract_z
Ca1 Ca 0.0000 0.0000 0.0000
Ta1 Ta 0.1256 0.1256 0.3744
Ir1 Ir 0.2500 0.2500 0.7500
```


Here is an optimized crystal structure of MnCu2TcAu from the Alexandria database. Energies are from PBE.

As for the total magnetization: 4.80 μB per formula unit. The value obtained for the energy of formation from the pure elements is 1.55 eV per atom.

Structure (CIF):
```
data_MnCu2TcAu
_space_group_name_H-M_alt 'P 4/m m m'
_space_group_IT_number 123
_space_group_name_Hall '-P 4 2'
_cell_length_a 4.6160
_cell_length_b 4.6160
_cell_length_c 4.7820
_cell_angle_alpha 90.00
_cell_angle_beta 90.00
_cell_angle_gamma 90.00
loop_
_atom_site_label
_atom_site_type_symbol
_atom_site_fract_x
_atom_site_fract_y
_atom_site_fract_z
Mn1 Mn 0.0000 0.0000 0.0000
Cu1 Cu 0.0000 0.5000 0.5000
Tc1 Tc 0.5000 0.5000 0.0000
Au1 Au 0.0000 0.0000 0.5000
```


Fermi-level density of states / states/eV/cell: 150.1 3.0 10.6 2.4 10.6 35.6 18.3 1.8 16.3 8.9 11.9 6.1